Material: Nd6Tc2GeBr3
Method: DFT, GGA-PBE
State: optimized geometry Values from VASP.

Structure (Quantum ESPRESSO input):
```
&SYSTEM
  ibrav = 0, nat = 12, ntyp = 4
/
ATOMIC_SPECIES
Nd 144.24 Nd.upf
Tc 98.00 Tc.upf
Ge 72.64 Ge.upf
Br 79.90 Br.upf
ATOMIC_POSITIONS angstrom
Nd -0.0804 2.2235 6.1789
Nd 1.0965 0.0000 1.5378
Nd -0.0804 -2.2235 6.1789
Nd 4.9354 2.2235 1.5171
Nd 3.7585 0.0000 6.1582
Nd 4.9354 -2.2235 1.5171
Tc 3.6508 4.2330 0.0000
Tc 3.6508 -4.2330 0.0000
Ge 3.6508 0.0000 0.0000
Br -1.2233 0.0000 3.8480
Br 2.4275 2.1090 3.8480
Br 2.4275 -2.1090 3.8480
CELL_PARAMETERS angstrom
3.6508 -6.3239 0.0000
3.6508 6.3239 0.0000
-2.4466 0.0000 7.6961
```

**N(E_F)**: 6.31 states/eV/cell
**V**: 29.61 Å³/atom
**Raw formation energy**: -0.68 eV per atom
**Uncorrected energy**: -5.597 eV per atom